Entry 1:
Here is an optimized crystal structure of Nb4GaGe2 from the Alexandria database. Energies are from PBE.

Lattice parameters (Å, degrees): 6.8153 6.8153 6.8153 109.45 109.45 109.51
Sites, in units of the cell vectors:
1 Nb 0.1218 0.5269 0.7487
2 Nb 0.1231 0.0282 0.7513
3 Nb 0.2769 0.3718 0.2487
4 Nb 0.4731 0.2218 0.5948
5 Nb 0.6269 0.8782 0.4052
6 Nb 0.6282 0.8769 0.9052
7 Nb 0.7782 0.3731 0.2513
8 Nb 0.9718 0.7231 0.0948
9 Ga 0.2500 0.7500 0.5000
10 Ga 0.5000 0.5000 0.0000
11 Ge 0.0024 0.1250 0.3774
12 Ge 0.3750 0.9976 0.1226
13 Ge 0.7476 0.6250 0.6226
14 Ge 0.8750 0.2524 0.8774

- Density of states at the Fermi level: 7.6 states/eV per cell
- Volume: 17.4 Å³/atom
- Uncorrected energy: -7.8580 eV per atom
- E_form: -0.35 eV/atom


Entry 2:
Here is an optimized crystal structure of NbGaGe2 from the Alexandria database. Energies are from PBE.

Lattice parameters (Å, degrees): 5.8655 5.8655 5.8655 102.73 102.73 124.01
Sites, in units of the cell vectors:
1 Nb 0.0000 0.0000 0.0000
2 Nb 0.7500 0.2500 0.5000
3 Ga 0.2500 0.7500 0.5000
4 Ga 0.5000 0.5000 0.0000
5 Ge 0.1269 0.6250 0.0019
6 Ge 0.3750 0.3769 0.5019
7 Ge 0.6231 0.1250 0.9981
8 Ge 0.8750 0.8731 0.4981

- Density of states at the Fermi level: 4.0 states/eV per cell
- Volume: 18.5 Å³/atom
- Uncorrected energy: -5.3577 eV per atom
- E_form: 0.23 eV/atom


Entry 3:
Here is an optimized crystal structure of NbGa3Ge from the Alexandria database. Energies are from PBE.

Lattice parameters (Å, degrees): 5.0226 5.0226 5.0226 90.00 90.00 90.00
Sites, in units of the cell vectors:
1 Nb 0.0000 0.0000 0.0000
2 Ga 0.0000 0.0000 0.5000
3 Ga 0.0000 0.5000 0.0000
4 Ga 0.5000 0.0000 0.0000
5 Ge 0.5000 0.5000 0.5000

- Density of states at the Fermi level: 3.1 states/eV per cell
- Volume: 25.3 Å³/atom
- Uncorrected energy: -4.1093 eV per atom
- E_form: 0.64 eV/atom


Which formula does entry 2 have?
NbGaGe2


What is the volume in the third record?
25.3 Å³/atom


What did the second record say?
Here is an optimized crystal structure of NbGaGe2 from the Alexandria database. Energies are from PBE.

Lattice parameters (Å, degrees): 5.8655 5.8655 5.8655 102.73 102.73 124.01
Sites, in units of the cell vectors:
1 Nb 0.0000 0.0000 0.0000
2 Nb 0.7500 0.2500 0.5000
3 Ga 0.2500 0.7500 0.5000
4 Ga 0.5000 0.5000 0.0000
5 Ge 0.1269 0.6250 0.0019
6 Ge 0.3750 0.3769 0.5019
7 Ge 0.6231 0.1250 0.9981
8 Ge 0.8750 0.8731 0.4981

- Density of states at the Fermi level: 4.0 states/eV per cell
- Volume: 18.5 Å³/atom
- Uncorrected energy: -5.3577 eV per atom
- E_form: 0.23 eV/atom


Which formula does entry 2 have?
NbGaGe2